The following is a GGA+U calculation of a geometry-optimized LiFe2O2 structure, from Alexandria.

The structure in POSCAR format:
```
LiFe2O2
1.0
6.181 0.000 0.000
0.000 6.181 0.000
0.000 0.000 2.759
Li O Fe
2 4 4
Direct
0.000 0.000 0.000 Li
0.500 0.500 0.000 Li
0.333 0.167 0.500 O
0.167 0.667 0.500 O
0.833 0.333 0.500 O
0.667 0.833 0.500 O
0.858 0.642 0.000 Fe
0.642 0.142 0.000 Fe
0.358 0.858 0.000 Fe
0.142 0.358 0.000 Fe
```

Density of states at the Fermi level in states/eV/cell: 1.23
Magnetization in Bohr magnetons per cell: 14.340
Final energy in eV/cell: -52.15